Entry 1:
This record from the Alexandria database describes a relaxed structure of Er12Ir6Pb. The functional is PBE.

E	-6.52	eV per atom
Fermi-level density of states	5.5	states/eV per cell
DFT formation energy	-12.2	eV per formula unit
SG	Im-3 (204)

Cell and atoms, written as CIF:
```
data_Er12Ir6Pb
_chemical_formula_sum 'Er12 Ir6 Pb1'
_space_group_name_H-M_alt 'P 1'
_space_group_IT_number 1
_cell_length_a 8.544
_cell_length_b 8.544
_cell_length_c 8.544
_cell_angle_alpha 109.47
_cell_angle_beta 109.47
_cell_angle_gamma 109.47
loop_
_space_group_symop_operation_xyz
'x,y,z'
loop_
_atom_site_label
_atom_site_fract_x
_atom_site_fract_y
_atom_site_fract_z
Er1 0.104 0.805 0.299
Er2 0.195 0.299 0.494
Er3 0.195 0.701 0.896
Er4 0.299 0.104 0.805
Er5 0.299 0.494 0.195
Er6 0.494 0.195 0.299
Er7 0.506 0.805 0.701
Er8 0.701 0.506 0.805
Er9 0.701 0.896 0.195
Er10 0.805 0.299 0.104
Er11 0.805 0.701 0.506
Er12 0.896 0.195 0.701
Ir1 0.126 0.626 0.500
Ir2 0.374 0.500 0.874
Ir3 0.500 0.126 0.626
Ir4 0.500 0.874 0.374
Ir5 0.626 0.500 0.126
Ir6 0.874 0.374 0.500
Pb1 0.000 0.000 0.000
```

---

Entry 2:
This record from the Alexandria database describes a relaxed structure of ErIr4Pb. The functional is PBE.

E	-7.55	eV per atom
Fermi-level density of states	9.0	states/eV per cell
DFT formation energy	-1.6	eV per formula unit
SG	F-43m (216)

Cell and atoms, written as CIF:
```
data_ErIr4Pb
_chemical_formula_sum 'Er1 Ir4 Pb1'
_space_group_name_H-M_alt 'P 1'
_space_group_IT_number 1
_cell_length_a 5.367
_cell_length_b 5.367
_cell_length_c 5.367
_cell_angle_alpha 60.00
_cell_angle_beta 60.00
_cell_angle_gamma 60.00
loop_
_space_group_symop_operation_xyz
'x,y,z'
loop_
_atom_site_label
_atom_site_fract_x
_atom_site_fract_y
_atom_site_fract_z
Er1 0.000 0.000 0.000
Ir1 0.375 0.375 0.375
Ir2 0.375 0.375 0.874
Ir3 0.375 0.874 0.375
Ir4 0.874 0.375 0.375
Pb1 0.750 0.750 0.750
```

---

Entry 3:
This record from the Alexandria database describes a relaxed structure of Er4IrPb3. The functional is PBE.

E	-5.32	eV per atom
Fermi-level density of states	4.1	states/eV per cell
DFT formation energy	-4.3	eV per formula unit
SG	P4/mmm (123)

Cell and atoms, written as CIF:
```
data_Er4IrPb3
_chemical_formula_sum 'Er4 Ir1 Pb3'
_space_group_name_H-M_alt 'P 1'
_space_group_IT_number 1
_cell_length_a 3.495
_cell_length_b 3.495
_cell_length_c 16.885
_cell_angle_alpha 90.00
_cell_angle_beta 90.00
_cell_angle_gamma 90.00
loop_
_space_group_symop_operation_xyz
'x,y,z'
loop_
_atom_site_label
_atom_site_fract_x
_atom_site_fract_y
_atom_site_fract_z
Er1 0.000 0.000 0.096
Er2 0.000 0.000 0.367
Er3 0.000 0.000 0.633
Er4 0.000 0.000 0.904
Ir1 0.500 0.500 0.000
Pb1 0.500 0.500 0.236
Pb2 0.500 0.500 0.500
Pb3 0.500 0.500 0.764
```

---

Entry 4:
This record from the Alexandria database describes a relaxed structure of Er3IrPb2. The functional is PBE.

polymorph energy (0 for the lowest one)	0	meV/atom
E	-5.58	eV per atom
Fermi-level density of states	10.7	states/eV per cell
DFT formation energy	-3.5	eV per formula unit
SG	Pnma (62)

Cell and atoms, written as CIF:
```
data_Er3IrPb2
_chemical_formula_sum 'Er12 Ir4 Pb8'
_space_group_name_H-M_alt 'P 1'
_space_group_IT_number 1
_cell_length_a 12.537
_cell_length_b 4.388
_cell_length_c 11.633
_cell_angle_alpha 90.00
_cell_angle_beta 90.00
_cell_angle_gamma 90.00
loop_
_space_group_symop_operation_xyz
'x,y,z'
loop_
_atom_site_label
_atom_site_fract_x
_atom_site_fract_y
_atom_site_fract_z
Er1 0.057 0.250 0.132
Er2 0.116 0.750 0.538
Er3 0.246 0.750 0.287
Er4 0.254 0.250 0.787
Er5 0.384 0.250 0.038
Er6 0.443 0.750 0.632
Er7 0.557 0.250 0.368
Er8 0.616 0.750 0.962
Er9 0.746 0.750 0.213
Er10 0.754 0.250 0.713
Er11 0.884 0.250 0.462
Er12 0.943 0.750 0.868
Ir1 0.122 0.250 0.369
Ir2 0.378 0.750 0.869
Ir3 0.622 0.250 0.131
Ir4 0.878 0.750 0.631
Pb1 0.018 0.250 0.699
Pb2 0.184 0.750 0.997
Pb3 0.316 0.250 0.497
Pb4 0.482 0.750 0.199
Pb5 0.518 0.250 0.801
Pb6 0.684 0.750 0.503
Pb7 0.816 0.250 0.003
Pb8 0.982 0.750 0.301
```

---

Among the records above, which one has the highest DFT formation energy? ErIr4Pb